This record from Alexandria describes LiRePb4 after structural relaxation. The functional is PBE.

## Properties
Space group: F-43m, No. 216
Formation energy in eV/atom: 0.992

Cell and atoms, written as POSCAR:
```
LiRePb4
1.0
-1.789 -5.027 3.400
-6.108 -1.629 0.265
-2.005 -5.243 -2.920
Pb Re Li
4 1 1
direct
0.873 0.376 0.376
0.376 0.376 0.376
0.376 0.873 0.376
0.376 0.376 0.873
0.750 0.750 0.750
0.000 0.000 0.000
```